No. 1
Crystalline BaUIrO6 at its relaxed geometry, computed with PBE-GGA.

The uncorrected formation energy is -2.234 eV per atom. Its density of states at the Fermi level is 17.18 states/eV per cell.

It has space group Imma (No. 74), with a = 7.206 Å, b = 7.894 Å, c = 10.588 Å, α = 90.00°, β = 90.00° and γ = 90.00°. The inequivalent atoms are Ba at (0.000, 0.250, 0.060), U at (0.000, 0.000, 0.500), Ir at (0.250, 0.250, 0.750), O at (0.000, 0.250, 0.418), O at (0.000, 0.250, 0.811) and O at (0.218, 0.069, 0.617).

***

No. 2
Crystalline Ba2UIr3O12 at its relaxed geometry, computed with PBE-GGA.

The uncorrected formation energy is -1.735 eV per atom. Its density of states at the Fermi level is 33.43 states/eV per cell.

It has space group R-3m (No. 166, hexagonal axes), with a = 7.1707 Å, b = 7.1707 Å, c = 18.4634 Å, α = 90.00°, β = 90.00° and γ = 120.00°. The inequivalent atoms are Ba at (0.0000, 0.0000, 0.1058), U at (0.0000, 0.0000, 0.5000), Ir at (0.0000, 0.5000, 0.0000), O at (0.0463, 0.5231, 0.1074) and O at (0.0523, 0.5261, 0.3492).

***

Number 1: calculated total energy -287.697 eV/cell. Number 2: calculated total energy -397.342 eV/cell.